Tb5Y3Er4: relaxed, PBE-GGA.

DFT formation energy (eV per atom): 0.250
Total magnetic moment (μB per cell): 0.46
Distance to the lowest polymorph of the same formula (eV/atom): 0.2299

```
Tb5Y3Er4
1.0
8.054 -2.918 0.000
8.054 2.918 0.000
-4.212 0.000 8.266
Tb Y Er
5 3 4
Cartesian
0.000 0.000 0.000
2.676 0.000 5.070
5.587 0.000 2.481
6.308 0.000 5.785
9.219 0.000 3.196
2.395 0.000 1.894
8.054 0.000 0.000
9.500 0.000 6.371
-0.557 0.000 3.641
-0.252 0.000 7.253
12.147 0.000 1.013
12.452 0.000 4.625
```

Hg2MoPt: relaxed, PBE-GGA.

DFT formation energy (eV per atom): 0.129
Total magnetic moment (μB per cell): 0.00
Distance to the lowest polymorph of the same formula (eV/atom): 0.0000

```
Hg2MoPt
1.0
2.957 0.000 0.000
0.000 2.957 0.000
0.000 0.000 8.595
Hg Mo Pt
2 1 1
Cartesian
0.000 0.000 0.000
1.478 1.478 2.555
0.000 0.000 4.698
1.478 1.478 6.387
```

SbRuAu2: relaxed, PBE-GGA.

Formation energy from raw total energies (kJ/mol of atoms): 32.7
Total magnetic moment (μB per cell): 0.00

```
SbRuAu2
1.0
7.679 0.000 0.000
0.000 7.679 0.000
0.000 0.000 5.330
Sb Ru Au
4 4 8
Cartesian
0.000 0.000 0.000
0.000 3.840 1.333
3.840 0.000 3.998
3.840 3.840 2.665
0.000 0.000 2.665
0.000 3.840 3.998
3.840 0.000 1.333
3.840 3.840 0.000
1.860 1.920 3.331
1.920 5.699 4.664
1.920 5.820 1.999
1.980 1.920 0.666
5.699 5.759 0.666
5.759 1.860 1.999
5.759 1.980 4.664
5.820 5.759 3.331
```

NdZnPtAu: relaxed, PBE-GGA.

DFT formation energy (eV per atom): -0.756
Total magnetic moment (μB per cell): 0.00
Distance to the lowest polymorph of the same formula (eV/atom): 0.0000

```
NdZnPtAu
1.0
7.799 0.000 0.000
0.000 4.515 0.000
-2.605 0.000 4.794
Nd Zn Pt Au
2 2 2 2
Cartesian
0.000 0.000 0.000
3.899 2.257 0.000
-1.303 2.257 2.681
2.596 0.000 2.681
-0.005 0.000 3.090
3.895 2.257 3.090
1.296 2.257 1.703
5.195 0.000 1.703
```

Ca4InAg2Hg: relaxed, PBE-GGA.

DFT formation energy (eV per atom): -0.404
Total magnetic moment (μB per cell): 0.00

```
Ca4InAg2Hg
1.0
2.665 1.539 8.713
-2.665 1.539 8.713
0.000 -3.077 8.713
Ca In Ag Hg
4 1 2 1
Cartesian
0.000 0.000 3.239
0.000 0.000 9.779
0.000 0.000 16.359
0.000 0.000 22.898
0.000 0.000 13.069
0.000 0.000 6.461
0.000 0.000 19.677
0.000 0.000 0.000
```

Ac3BiRh: relaxed, PBE-GGA.

DFT formation energy (eV per atom): -0.568
Total magnetic moment (μB per cell): 0.00
Distance to the lowest polymorph of the same formula (eV/atom): 0.1432

```
Ac3BiRh
1.0
8.084 0.000 0.000
-4.027 7.030 0.000
-4.040 -2.339 7.153
Ac Bi Rh
6 2 2
Cartesian
0.000 0.000 0.000
-4.962 4.714 3.442
-1.661 1.730 3.434
-3.247 1.810 7.148
-0.067 -0.953 7.143
3.284 -0.926 3.435
-2.457 4.180 0.972
1.590 1.853 2.565
-2.464 -0.497 5.353
5.621 -0.504 1.631
```

ReNi3Ru: relaxed, PBE-GGA.

DFT formation energy (eV per atom): 1.685
Total magnetic moment (μB per cell): 1.95
Distance to the lowest polymorph of the same formula (eV/atom): 0.0000

```
ReNi3Ru
1.0
4.419 0.000 0.000
0.000 4.419 0.000
0.000 0.000 4.419
Re Ni Ru
1 3 1
Cartesian
0.000 0.000 0.000
0.000 0.000 2.210
0.000 2.210 0.000
2.210 0.000 0.000
2.210 2.210 2.210
```

Rb2HoAuO4: relaxed, PBE-GGA.

Formation energy from raw total energies (kJ/mol of atoms): -131.7
Total magnetic moment (μB per cell): 0.00

```
Rb2HoAuO4
1.0
0.000 7.226 11.727
3.090 0.000 11.727
3.090 7.226 0.000
Rb Ho Au O
4 2 2 8
Cartesian
2.318 5.419 1.575
3.863 9.032 7.438
2.318 5.419 16.016
3.863 9.032 21.879
0.773 1.806 2.932
5.408 12.645 20.522
2.318 5.419 8.795
3.863 9.032 14.659
3.791 3.988 8.672
3.791 6.851 8.918
5.337 7.601 14.782
5.337 10.464 14.536
0.844 3.988 8.918
0.844 6.851 8.672
2.390 7.601 14.536
2.390 10.464 14.782
```

RbNbAg2Se4: relaxed, PBE-GGA.

Formation energy from raw total energies (kJ/mol of atoms): -57.5
Total magnetic moment (μB per cell): 0.00

```
RbNbAg2Se4
1.0
6.590 0.000 0.000
0.000 8.186 0.000
0.000 0.000 9.161
Rb Nb Ag Se
2 2 4 8
Cartesian
0.000 0.000 0.000
3.295 4.093 4.581
0.000 0.000 4.581
3.295 4.093 0.000
0.000 4.093 1.449
0.000 4.093 7.712
3.295 0.000 3.132
3.295 0.000 6.029
1.258 1.513 3.126
1.258 6.673 6.035
2.036 2.580 7.707
2.036 5.606 1.454
4.553 2.580 1.454
4.553 5.606 7.707
5.331 1.513 6.035
5.331 6.673 3.126
```

MgOs3: relaxed, PBE-GGA.

DFT formation energy (eV per atom): 0.392
Total magnetic moment (μB per cell): 0.00

```
MgOs3
1.0
5.531 0.000 0.000
-2.765 4.790 0.000
0.000 0.000 4.428
Mg Os
2 6
Cartesian
0.000 3.193 1.107
2.765 1.597 3.321
0.000 1.629 3.321
-1.355 3.975 3.321
1.411 0.814 1.107
1.355 3.975 3.321
4.120 0.814 1.107
2.765 3.161 1.107
```

Tm6Al2In: relaxed, PBE-GGA.

DFT formation energy (eV per atom): -0.299
Total magnetic moment (μB per cell): 0.00
Distance to the lowest polymorph of the same formula (eV/atom): 0.0000

```
Tm6Al2In
1.0
-4.749 4.842 5.267
4.749 -4.842 5.267
4.749 4.842 -5.267
Tm Al In
12 4 2
Cartesian
4.749 -2.825 3.378
2.828 0.000 2.573
6.669 0.000 2.573
2.991 2.663 0.000
6.506 2.663 0.000
0.000 2.018 1.890
4.749 2.825 3.378
-1.758 2.179 5.267
1.758 2.179 5.267
-1.921 4.842 2.694
1.921 4.842 2.694
0.000 7.667 1.890
1.372 0.000 0.000
8.125 0.000 0.000
0.000 0.000 3.983
0.000 0.000 6.552
4.749 0.000 0.000
0.000 4.842 0.000
```

RbBa2NaHg: relaxed, PBE-GGA.

DFT formation energy (eV per atom): -0.094
Total magnetic moment (μB per cell): 0.00
Distance to the lowest polymorph of the same formula (eV/atom): 0.0000

```
RbBa2NaHg
1.0
6.751 0.000 0.000
0.000 6.751 0.000
0.000 0.000 6.278
Rb Ba Na Hg
1 2 1 1
Cartesian
0.000 0.000 0.000
0.000 3.376 3.139
3.376 0.000 3.139
3.376 3.376 0.000
3.376 3.376 3.139
```

> The highest total magnetic moment belongs to which entry?

ReNi3Ru

> Look up the total magnetic moment of the tenth one.

0.00 μB per cell

> Which of these has the highest total magnetic moment?

ReNi3Ru